No. 1
Below is crystalline CdCu4Pt at its relaxed geometry, with properties calculated at the PBEsol level.

Properties
energy relative to the elements	-0.3	eV/f.u.
mass density	11.8	Mg/m³
D(E_F)	0.4049	states/eV/atom

Lattice parameters (Å, degrees): 4.812 4.812 4.812 60.00 60.00 60.00
Fractional coordinates of all 6 atoms:
Pt  0.250  0.250  0.250
Cu  0.625  0.625  0.625
Cu  0.625  0.126  0.625
Cu  0.625  0.625  0.126
Cu  0.126  0.625  0.625
Cd  0.000  0.000  0.000

=====

No. 2
Below is crystalline Cd2CuPt at its relaxed geometry, with properties calculated at the PBEsol level.

Properties
energy relative to the elements	-0.2	eV/f.u.
mass density	12.4	Mg/m³
D(E_F)	0.2907	states/eV/atom

Lattice parameters (Å, degrees): 2.898 4.801 4.978 100.29 90.00 107.57
Fractional coordinates of all 4 atoms:
Cd  0.748  0.495  0.746
Pt  0.500  0.000  0.000
Cd  0.252  0.505  0.254
Cu  0.000  0.000  0.500

=====

No. 3
Below is crystalline Cd2CuPt at its relaxed geometry, with properties calculated at the PBEsol level.

Properties
energy relative to the elements	-0.5	eV/f.u.
mass density	12.4	Mg/m³
D(E_F)	0.3452	states/eV/atom

Lattice parameters (Å, degrees): 2.913 3.832 5.784 90.00 90.00 90.00
Fractional coordinates of all 4 atoms:
Cd  0.000  0.000  0.756
Pt  0.500  0.500  0.500
Cu  0.500  0.500  0.000
Cd  0.000  0.000  0.244

=====

No. 4
Below is crystalline Cd2CuPt at its relaxed geometry, with properties calculated at the PBEsol level.

Properties
energy relative to the elements	-0.6	eV/f.u.
mass density	12.4	Mg/m³
D(E_F)	0.3557	states/eV/atom

Lattice parameters (Å, degrees): 4.060 4.060 4.858 114.70 114.70 90.00
Fractional coordinates of all 4 atoms:
Cd  0.750  0.250  0.500
Cu  0.500  0.500  0.000
Cd  0.250  0.750  0.500
Pt  0.000  0.000  0.000

=====

No. 5
Below is crystalline Cd2CuPt at its relaxed geometry, with properties calculated at the PBEsol level.

Properties
energy relative to the elements	-0.5	eV/f.u.
mass density	12.3	Mg/m³
D(E_F)	0.2891	states/eV/atom

Lattice parameters (Å, degrees): 2.893 4.757 5.238 108.41 106.03 90.00
Fractional coordinates of all 4 atoms:
Cd  0.769  0.308  0.539
Pt  0.228  0.781  0.456
Cd  0.985  0.948  0.970
Cu  0.518  0.463  0.036

=====

No. 6
Below is crystalline Cd3CuPt at its relaxed geometry, with properties calculated at the PBEsol level.

Properties
energy relative to the elements	3.0	eV/f.u.
mass density	9.5	Mg/m³
D(E_F)	0.4926	states/eV/atom

Lattice parameters (Å, degrees): 4.712 4.712 4.712 90.00 90.00 90.00
Fractional coordinates of all 5 atoms:
Pt  0.500  0.500  0.500
Cu  0.000  0.000  0.000
Cd  0.000  0.500  0.000
Cd  0.500  0.000  0.000
Cd  0.000  0.000  0.500

=====

No. 7
Below is crystalline RbCd2Cu at its relaxed geometry, with properties calculated at the PBEsol level.

Properties
energy relative to the elements	1.8	eV/f.u.
mass density	6.1	Mg/m³
D(E_F)	0.3450	states/eV/atom

Lattice parameters (Å, degrees): 5.239 5.239 5.239 60.00 60.00 60.00
Fractional coordinates of all 4 atoms:
Rb  0.500  0.500  0.500
Cd  0.250  0.250  0.250
Cd  0.750  0.750  0.750
Cu  0.000  0.000  0.000

=====

No. 8
Below is crystalline Cd3CuRe at its relaxed geometry, with properties calculated at the PBEsol level.

Properties
energy relative to the elements	7.8	eV/f.u.
mass density	7.1	Mg/m³
D(E_F)	1.1432	states/eV/atom

Lattice parameters (Å, degrees): 5.160 5.160 5.160 90.00 90.00 90.00
Fractional coordinates of all 5 atoms:
Cd  0.000  0.000  0.500
Cu  0.500  0.500  0.500
Cd  0.500  0.000  0.000
Re  0.000  0.000  0.000
Cd  0.000  0.500  0.000

=====

- Among the records above, which one has the highest D(E_F)?
  Cd3CuRe

=====

- Among the records above, which one has the lowest D(E_F)?
  number 5

=====

- Among the records above, which one has the lowest D(E_F)?
  number 5